## KNaAgSb (PBE)

Data for a relaxed KNaAgSb crystal.

Energy ... -2.5892 eV/atom
Raw formation energy ... -0.242 eV per atom

POSCAR file:
```
KNaAgSb
1.0
-3.096 -1.740 3.913
-1.188 -5.138 0.344
2.052 -2.932 3.888
Sb K Ag Na
1 1 1 1
direct
0.500 0.500 0.500
0.000 0.000 0.000
0.250 0.250 0.250
0.750 0.750 0.750
```